! SrHoC2O6, optimized geometry, DFT PBE; values from VASP
! Symmetry   C2/c (15)
! Energy relative to the elements, uncorrected   -2.1201 eV/atom
! N(E_F)   1.80 states/eV/f.u.
! Calculated volume   12.528 Å³ per atom
! Theoretical density   4.94 Mg/m³
&SYSTEM
  ibrav = 0, nat = 20, ntyp = 4
/
ATOMIC_SPECIES
Sr 87.62 Sr.upf
Ho 164.93 Ho.upf
C 12.01 C.upf
O 16.00 O.upf
CELL_PARAMETERS angstrom
4.007 -4.869 0.000
4.007 4.869 0.000
-2.319 0.000 6.421
ATOMIC_POSITIONS crystal
Sr 0.141 0.859 0.750
Sr 0.859 0.141 0.250
Ho 0.414 0.586 0.250
Ho 0.586 0.414 0.750
C 0.121 0.364 0.747
C 0.364 0.121 0.247
C 0.636 0.879 0.753
C 0.879 0.636 0.253
O 0.073 0.590 0.311
O 0.188 0.218 0.616
O 0.218 0.188 0.116
O 0.289 0.522 0.892
O 0.410 0.927 0.189
O 0.478 0.711 0.608
O 0.522 0.289 0.392
O 0.590 0.073 0.811
O 0.711 0.478 0.108
O 0.782 0.812 0.884
O 0.812 0.782 0.384
O 0.927 0.410 0.689